(1)
This record from Alexandria describes Sr2CuRhC after structural relaxation. The functional is PBE.

## Properties
final energy = -4.827 eV/atom
energy of formation from the pure elements = -20 meV per atom
DOS at the Fermi energy = 1.26 states/eV/f.u.
space group = P4/mmm
energy above the most stable polymorph in this dataset = 0.000 eV/atom

a = 5.4705 Å, b = 5.4705 Å, c = 3.8739 Å
α = 90.00°, β = 90.00°, γ = 90.00°
Element x y z (fractional)
Cu 0.5000 0.5000 0.5000
C 0.0000 0.0000 0.0000
Sr 0.0000 0.5000 0.0000
Sr 0.5000 0.0000 0.0000
Rh 0.0000 0.0000 0.5000

(2)
This record from Alexandria describes Sr2CuRhC after structural relaxation. The functional is PBE.

## Properties
final energy = -4.513 eV/atom
energy of formation from the pure elements = 294 meV per atom
DOS at the Fermi energy = 2.61 states/eV/f.u.
space group = P4/mmm
energy above the most stable polymorph in this dataset = 0.313 eV/atom

a = 5.7767 Å, b = 3.8961 Å, c = 5.7767 Å
α = 90.00°, β = 90.00°, γ = 90.00°
Element x y z (fractional)
Sr 0.0000 0.0000 0.5000
Sr 0.5000 0.0000 0.0000
Rh 0.0000 0.0000 0.0000
Cu 0.5000 0.5000 0.5000
C 0.0000 0.5000 0.0000

(3)
This record from Alexandria describes ZnCuRh2C after structural relaxation. The functional is PBE.

## Properties
final energy = -5.852 eV/atom
energy of formation from the pure elements = 8 meV per atom
DOS at the Fermi energy = 1.43 states/eV/f.u.
space group = P4/mmm

a = 4.0249 Å, b = 4.0249 Å, c = 3.9323 Å
α = 90.00°, β = 90.00°, γ = 90.00°
Element x y z (fractional)
C 0.0000 0.0000 0.0000
Rh 0.5000 0.0000 0.0000
Rh 0.0000 0.5000 0.0000
Zn 0.5000 0.5000 0.5000
Cu 0.0000 0.0000 0.5000

(4)
This record from Alexandria describes CuRuC2 after structural relaxation. The functional is PBE.

## Properties
final energy = -7.023 eV/atom
energy of formation from the pure elements = 932 meV per atom
DOS at the Fermi energy = 1.78 states/eV/f.u.
space group = I-42d
energy above the most stable polymorph in this dataset = 0.000 eV/atom

a = 4.5551 Å, b = 4.5551 Å, c = 5.5716 Å
α = 65.87°, β = 65.87°, γ = 90.00°
Element x y z (fractional)
C 0.3750 0.3600 0.7500
C 0.8750 0.8900 0.7500
C 0.1100 0.6250 0.2500
C 0.6400 0.1250 0.2500
Ru 0.0000 0.0000 0.0000
Ru 0.7500 0.2500 0.5000
Cu 0.5000 0.5000 0.0000
Cu 0.2500 0.7500 0.5000

(5)
This record from Alexandria describes CuRu2C after structural relaxation. The functional is PBE.

## Properties
final energy = -7.496 eV/atom
energy of formation from the pure elements = 472 meV per atom
DOS at the Fermi energy = 3.90 states/eV/f.u.
space group = I-42d

a = 6.4222 Å, b = 6.4222 Å, c = 5.1255 Å
α = 51.21°, β = 51.21°, γ = 90.00°
Element x y z (fractional)
Cu 0.7500 0.2500 0.5000
Cu 0.0000 0.0000 0.0000
C 0.2500 0.7500 0.5000
C 0.5000 0.5000 0.0000
Ru 0.2161 0.6250 0.2500
Ru 0.3750 0.4661 0.7500
Ru 0.8750 0.7839 0.7500
Ru 0.5339 0.1250 0.2500

(6)
This record from Alexandria describes CuRuC2 after structural relaxation. The functional is PBE.

## Properties
final energy = -6.305 eV/atom
energy of formation from the pure elements = 1650 meV per atom
DOS at the Fermi energy = 4.33 states/eV/f.u.
space group = Fm-3m
energy above the most stable polymorph in this dataset = 0.718 eV/atom

a = 3.7489 Å, b = 3.7489 Å, c = 3.7489 Å
α = 60.00°, β = 60.00°, γ = 60.00°
Element x y z (fractional)
Ru 0.5000 0.5000 0.5000
Cu 0.0000 0.0000 0.0000
C 0.2500 0.2500 0.2500
C 0.7500 0.7500 0.7500

(7)
This record from Alexandria describes Cu2RuC after structural relaxation. The functional is PBE.

## Properties
final energy = -5.219 eV/atom
energy of formation from the pure elements = 1454 meV per atom
DOS at the Fermi energy = 4.60 states/eV/f.u.
space group = I-42d

a = 4.2329 Å, b = 4.2329 Å, c = 6.8469 Å
α = 71.99°, β = 71.99°, γ = 90.00°
Element x y z (fractional)
Cu 0.4727 0.1250 0.2500
Cu 0.8750 0.7227 0.7500
Cu 0.2773 0.6250 0.2500
Cu 0.3750 0.5273 0.7500
Ru 0.0000 0.0000 0.0000
Ru 0.7500 0.2500 0.5000
C 0.2500 0.7500 0.5000
C 0.5000 0.5000 0.0000

(8)
This record from Alexandria describes Cu2RuCS after structural relaxation. The functional is PBE.

## Properties
uncorrected formation energy = 0.963 eV/atom
final energy = -5.201 eV/atom
DOS at the Fermi energy = 4.13 states/eV/f.u.
space group = P4/mmm

a = 3.6955 Å, b = 4.7405 Å, c = 3.6955 Å
α = 90.00°, β = 90.00°, γ = 90.00°
Element x y z (fractional)
Ru 0.5000 0.5000 0.5000
S 0.0000 0.5000 0.0000
C 0.0000 0.0000 0.0000
Cu 0.5000 0.0000 0.0000
Cu 0.0000 0.0000 0.5000